No. 1
VASP calculation (PBE-GGA) on a geometry-optimized CeNdRhAu structure.

total DFT energy (no corrections)	-6.077	eV/atom
DOS at the Fermi energy	10.35	states/eV/cell
formation energy	-0.74	eV/atom
offset from the most stable computed form	0.0000	eV per atom

```
data_CeNdRhAu
_chemical_formula_sum 'Ce2 Nd2 Rh2 Au2'
_cell_length_a 4.1322
_cell_length_b 3.9481
_cell_length_c 12.0774
_cell_angle_alpha 90.00
_cell_angle_beta 90.00
_cell_angle_gamma 90.00
_symmetry_space_group_name_H-M 'A m m 2'
_symmetry_Int_Tables_number 38
loop_
_symmetry_equiv_pos_as_xyz
'x,y,z'
'-x,-y,z'
'-x,y,z'
'x,-y,z'
'x,y+1/2,z+1/2'
'-x,-y+1/2,z+1/2'
'-x,y+1/2,z+1/2'
'x,-y+1/2,z+1/2'
loop_
_atom_site_label
_atom_site_fract_x
_atom_site_fract_y
_atom_site_fract_z
Ce1 0.0000 0.0000 0.0000
Nd1 0.5000 0.0000 0.2808
Rh1 0.5000 0.0000 0.5259
Au1 0.0000 0.0000 0.7030
```

No. 2
VASP calculation (PBE-GGA) on a geometry-optimized CeNdRuAu structure.

total DFT energy (no corrections)	-6.207	eV/atom
DOS at the Fermi energy	30.20	states/eV/cell
formation energy	-0.39	eV/atom

```
data_CeNdRuAu
_chemical_formula_sum 'Ce4 Nd4 Ru4 Au4'
_cell_length_a 7.1902
_cell_length_b 7.1902
_cell_length_c 7.1902
_cell_angle_alpha 90.00
_cell_angle_beta 90.00
_cell_angle_gamma 90.00
_symmetry_space_group_name_H-M 'F -4 3 m'
_symmetry_Int_Tables_number 216
_symmetry_space_group_name_Hall 'F -4 2 3'
loop_
_atom_site_label
_atom_site_fract_x
_atom_site_fract_y
_atom_site_fract_z
Ce1 0.0000 0.0000 0.0000
Nd1 0.0000 0.0000 0.5000
Ru1 0.2500 0.2500 0.7500
Au1 0.2500 0.2500 0.2500
```

No. 3
VASP calculation (PBE-GGA) on a geometry-optimized CeNdSbAu structure.

energy relative to the elements, uncorrected	-752	meV per atom
total DFT energy (no corrections)	-5.277	eV/atom
DOS at the Fermi energy	40.83	states/eV/cell

```
data_CeNdSbAu
_chemical_formula_sum 'Ce4 Nd4 Sb4 Au4'
_cell_length_a 7.6043
_cell_length_b 7.6043
_cell_length_c 7.6043
_cell_angle_alpha 90.00
_cell_angle_beta 90.00
_cell_angle_gamma 90.00
_symmetry_space_group_name_H-M 'F -4 3 m'
_symmetry_Int_Tables_number 216
_symmetry_space_group_name_Hall 'F -4 2 3'
loop_
_atom_site_label
_atom_site_fract_x
_atom_site_fract_y
_atom_site_fract_z
Ce1 0.0000 0.0000 0.0000
Nd1 0.0000 0.0000 0.5000
Sb1 0.2500 0.2500 0.7500
Au1 0.2500 0.2500 0.2500
```

No. 4
VASP calculation (PBE-GGA) on a geometry-optimized CeNdSiAu structure.

energy relative to the elements, uncorrected	-548	meV per atom
total DFT energy (no corrections)	-5.399	eV/atom
DOS at the Fermi energy	36.05	states/eV/cell

```
data_CeNdSiAu
_chemical_formula_sum 'Ce4 Nd4 Si4 Au4'
_cell_length_a 7.3608
_cell_length_b 7.3608
_cell_length_c 7.3608
_cell_angle_alpha 90.00
_cell_angle_beta 90.00
_cell_angle_gamma 90.00
_symmetry_space_group_name_H-M 'F -4 3 m'
_symmetry_Int_Tables_number 216
_symmetry_space_group_name_Hall 'F -4 2 3'
loop_
_atom_site_label
_atom_site_fract_x
_atom_site_fract_y
_atom_site_fract_z
Ce1 0.0000 0.0000 0.0000
Nd1 0.0000 0.0000 0.5000
Si1 0.2500 0.2500 0.2500
Au1 0.2500 0.2500 0.7500
```

No. 5
VASP calculation (PBE-GGA) on a geometry-optimized Ce2NdSi2Au2 structure.

energy relative to the elements, uncorrected	-643	meV per atom
total DFT energy (no corrections)	-5.505	eV/atom
DOS at the Fermi energy	25.97	states/eV/cell

```
data_Ce2NdSi2Au2
_chemical_formula_sum 'Ce6 Nd3 Si6 Au6'
_cell_length_a 4.3510
_cell_length_b 4.3510
_cell_length_c 28.1585
_cell_angle_alpha 90.00
_cell_angle_beta 90.00
_cell_angle_gamma 120.00
_symmetry_space_group_name_H-M 'R -3 m'
_symmetry_Int_Tables_number 166
_symmetry_space_group_name_Hall '-R 3 2"'
loop_
_atom_site_label
_atom_site_fract_x
_atom_site_fract_y
_atom_site_fract_z
Ce1 0.0000 0.0000 0.1417
Nd1 0.0000 0.0000 0.0000
Si1 0.0000 0.0000 0.2570
Au1 0.0000 0.0000 0.4046
```

No. 6
VASP calculation (PBE-GGA) on a geometry-optimized Ce2NdSn2Au2 structure.

total DFT energy (no corrections)	-5.046	eV/atom
DOS at the Fermi energy	41.18	states/eV/cell
formation energy	-0.59	eV/atom

```
data_Ce2NdSn2Au2
_chemical_formula_sum 'Ce6 Nd3 Sn6 Au6'
_cell_length_a 4.7336
_cell_length_b 4.7336
_cell_length_c 27.6501
_cell_angle_alpha 90.00
_cell_angle_beta 90.00
_cell_angle_gamma 120.00
_symmetry_space_group_name_H-M 'R -3 m'
_symmetry_Int_Tables_number 166
_symmetry_space_group_name_Hall '-R 3 2"'
loop_
_atom_site_label
_atom_site_fract_x
_atom_site_fract_y
_atom_site_fract_z
Ce1 0.0000 0.0000 0.1426
Nd1 0.0000 0.0000 0.0000
Sn1 0.0000 0.0000 0.2675
Au1 0.0000 0.0000 0.4302
```

No. 7
VASP calculation (PBE-GGA) on a geometry-optimized CeNdSnAu structure.

total DFT energy (no corrections)	-5.122	eV/atom
DOS at the Fermi energy	37.73	states/eV/cell
formation energy	-0.63	eV/atom

```
data_CeNdSnAu
_chemical_formula_sum 'Ce4 Nd4 Sn4 Au4'
_cell_length_a 7.6175
_cell_length_b 7.6175
_cell_length_c 7.6175
_cell_angle_alpha 90.00
_cell_angle_beta 90.00
_cell_angle_gamma 90.00
_symmetry_space_group_name_H-M 'F -4 3 m'
_symmetry_Int_Tables_number 216
_symmetry_space_group_name_Hall 'F -4 2 3'
loop_
_atom_site_label
_atom_site_fract_x
_atom_site_fract_y
_atom_site_fract_z
Ce1 0.0000 0.0000 0.0000
Nd1 0.0000 0.0000 0.5000
Sn1 0.2500 0.2500 0.2500
Au1 0.2500 0.2500 0.7500
```

No. 8
VASP calculation (PBE-GGA) on a geometry-optimized CeNdTe2Au structure.

energy relative to the elements, uncorrected	-1173	meV per atom
total DFT energy (no corrections)	-5.226	eV/atom
DOS at the Fermi energy	15.34	states/eV/cell

```
data_CeNdTe2Au
_chemical_formula_sum 'Ce2 Nd2 Te4 Au2'
_cell_length_a 4.4301
_cell_length_b 4.4301
_cell_length_c 15.2209
_cell_angle_alpha 90.00
_cell_angle_beta 90.00
_cell_angle_gamma 90.00
_symmetry_space_group_name_H-M 'P 4/n m m'
_symmetry_Int_Tables_number 129
loop_
_symmetry_equiv_pos_as_xyz
'x,y,z'
'-x,-y,-z'
'-y+1/2,x,z'
'y+1/2,-x,-z'
'-x+1/2,-y+1/2,z'
'x+1/2,y+1/2,-z'
'y,-x+1/2,z'
'-y,x+1/2,-z'
'x+1/2,-y,-z'
'-x+1/2,y,z'
'-y,-x,-z'
'y,x,z'
'-x,y+1/2,-z'
'x,-y+1/2,z'
'y+1/2,x+1/2,-z'
'-y+1/2,-x+1/2,z'
loop_
_atom_site_label
_atom_site_fract_x
_atom_site_fract_y
_atom_site_fract_z
Ce1 0.2500 0.2500 0.0912
Nd1 0.2500 0.2500 0.6447
Te1 0.2500 0.2500 0.3013
Te2 0.2500 0.2500 0.8794
Au1 0.2500 0.7500 0.5000
```